A plane-wave DFT calculation with PBE with a Hubbard U was carried out for crystalline PrCrSbO6 at its relaxed geometry.

Properties
Space-group type: P-31c, No. 163
Calculated total energy: -129.604 eV per cell

Cell lengths 5.218, 5.218, 10.339 Å; angles 90.00, 90.00, 120.00 degrees
Last column: magnetic moment on the atom in μB.
Sites, in units of the cell vectors:
Pr 0.000 0.000 0.000  0.01
Pr 0.000 0.000 0.500  0.01
Cr 0.333 0.667 0.250  2.14
Cr 0.667 0.333 0.750  2.14
Sb 0.667 0.333 0.250  0.01
Sb 0.333 0.667 0.750  0.01
O 0.628 0.637 0.145  -0.03
O 0.008 0.372 0.145  -0.03
O 0.372 0.008 0.645  -0.03
O 0.992 0.628 0.855  -0.03
O 0.363 0.372 0.355  -0.03
O 0.008 0.637 0.355  -0.03
O 0.637 0.008 0.855  -0.03
O 0.628 0.992 0.355  -0.03
O 0.992 0.363 0.645  -0.03
O 0.363 0.992 0.145  -0.03
O 0.637 0.628 0.645  -0.03
O 0.372 0.363 0.855  -0.03